MnAl2Co after structural relaxation, computed with GGA-PBE.

a = 2.814 Å, b = 2.814 Å, c = 6.241 Å
α = 90.00°, β = 90.00°, γ = 90.00°
Atoms (fractional coordinates):
Mn 0.000 0.000 0.000
Al 0.500 0.500 0.267
Al 0.500 0.500 0.733
Co 0.000 0.000 0.500

Values from the calculation:
Calculated total energy, eV for the cell shown: -25.50